Density functional theory data (SCAN) for BaTiB2O6 at its PBEsol-relaxed geometry.

a b c (Å): 5.042 5.042 6.173
angles (deg): 65.90 65.90 60.00
Positions (direct):
B (0.766, 0.766, 0.703)
B (0.234, 0.234, 0.297)
O (0.927, 0.439, 0.289)
O (0.654, 0.073, 0.711)
O (0.561, 0.654, 0.711)
O (0.073, 0.561, 0.711)
O (0.439, 0.346, 0.289)
O (0.346, 0.927, 0.289)
Ba (0.000, 0.000, 0.000)
Ti (0.500, 0.500, 0.500)

Values from the calculation:
E_form (uncorrected)	-30.66	eV/f.u.
E_tot	-13.85	eV per atom

***

Density functional theory data (SCAN) for HgSN2F at its PBEsol-relaxed geometry.

a b c (Å): 3.715 3.715 6.272
angles (deg): 90.00 90.00 90.00
Positions (direct):
F (0.000, 0.000, 0.000)
N (0.000, 0.500, 0.000)
N (0.500, 0.000, 0.000)
Hg (0.500, 0.500, 0.500)
S (0.000, 0.000, 0.500)

Values from the calculation:
E_form (uncorrected)	9.67	eV/f.u.
E_tot	-18.05	eV per atom

***

Density functional theory data (SCAN) for CsLaW2C at its PBEsol-relaxed geometry.

a b c (Å): 4.217 4.217 5.617
angles (deg): 90.00 90.00 90.00
Positions (direct):
Cs (0.500, 0.500, 0.500)
La (0.000, 0.000, 0.500)
W (0.000, 0.500, 0.000)
W (0.500, 0.000, 0.000)
C (0.000, 0.000, 0.000)

Values from the calculation:
formation enthalpy at 0 K	1.134	eV per atom
E_tot	-44.94	eV per atom

***

Density functional theory data (SCAN) for Sc6Ga16Os7 at its PBEsol-relaxed geometry.

a b c (Å): 8.705 8.705 8.705
angles (deg): 60.00 60.00 60.00
Positions (direct):
Ga (0.875, 0.375, 0.875)
Ga (0.039, 0.654, 0.654)
Ga (0.125, 0.625, 0.125)
Ga (0.125, 0.125, 0.625)
Ga (0.961, 0.346, 0.346)
Ga (0.375, 0.875, 0.875)
Ga (0.125, 0.125, 0.125)
Ga (0.875, 0.875, 0.375)
Ga (0.875, 0.875, 0.875)
Ga (0.654, 0.654, 0.654)
Ga (0.625, 0.125, 0.125)
Ga (0.346, 0.346, 0.961)
Ga (0.346, 0.346, 0.346)
Ga (0.654, 0.039, 0.654)
Ga (0.654, 0.654, 0.039)
Ga (0.346, 0.961, 0.346)
Sc (0.730, 0.730, 0.270)
Sc (0.730, 0.270, 0.730)
Sc (0.270, 0.270, 0.730)
Sc (0.730, 0.270, 0.270)
Sc (0.270, 0.730, 0.270)
Sc (0.270, 0.730, 0.730)
Os (0.000, 0.500, 0.000)
Os (0.500, 0.000, 0.000)
Os (0.500, 0.500, 0.000)
Os (0.000, 0.000, 0.500)
Os (0.000, 0.000, 0.000)
Os (0.000, 0.500, 0.500)
Os (0.500, 0.000, 0.500)

Values from the calculation:
formation enthalpy at 0 K	-0.532	eV per atom
E_tot	-29.85	eV per atom